--- 1 ---
Below is a geometry-optimized Y2HfCo2 structure, with properties calculated at the GGA-PBE level.

**SG**: No. 139

a = 6.3608 Å, b = 6.3608 Å, c = 6.3608 Å
α = 140.79°, β = 140.79°, γ = 56.65°
With the nearest neighbours (Å) after each atom.
Positions (direct):
Y 0.2500 0.7500 0.5000  4 Co 2.76, 4 Y 3.02
Y 0.7500 0.2500 0.5000  4 Co 2.76, 4 Y 3.02
Hf 0.0000 0.0000 0.0000  8 Co 3.19, 8 Y 3.52
Co 0.4067 0.4067 0.0000  1 Co 2.09
Co 0.5933 0.5933 0.0000  1 Co 2.09

=====

--- 2 ---
Below is a geometry-optimized Y2HfCo2 structure, with properties calculated at the GGA-PBE level.

**SG**: No. 139

a = 6.4362 Å, b = 6.4362 Å, c = 6.4362 Å
α = 141.16°, β = 141.16°, γ = 56.10°
With the nearest neighbours (Å) after each atom.
Positions (direct):
Y 0.1276 0.1276 0.0000  4 Co 2.55
Y 0.8724 0.8724 0.0000  4 Co 2.55
Hf 0.5000 0.5000 0.0000  8 Y 3.36, 8 Co 3.56
Co 0.2500 0.7500 0.5000  4 Y 2.55
Co 0.7500 0.2500 0.5000  4 Y 2.55

=====

Which structure is the most stable? The one labeled 1.

=====

--- 1 ---
Below is a geometry-optimized Co15Hg structure, with properties calculated at the GGA-PBE level.

**SG**: No. 11

a = 6.8435 Å, b = 2.5292 Å, c = 33.3190 Å
α = 90.00°, β = 90.01°, γ = 90.00°
With the nearest neighbours (Å) after each atom.
Positions (direct):
Co 0.1242 0.2500 0.2424  9 Co 2.42-2.53
Co 0.1246 0.2500 0.0187  12 Co 2.46-2.53
Co 0.1254 0.2500 0.0930  12 Co 2.46-2.53
Co 0.1254 0.2500 0.1681  12 Co 2.45-2.53
Co 0.1249 0.2500 0.7224  7 Co 2.37-2.53
Co 0.1251 0.2500 0.7936  12 Co 2.37-2.53
Co 0.1248 0.2500 0.8696  12 Co 2.46-2.53
Co 0.1253 0.2500 0.9438  12 Co 2.46-2.53
Co 0.3741 0.7500 0.7576  9 Co 2.42-2.53
Co 0.3752 0.7500 0.0557  12 Co 2.46-2.53
Co 0.3748 0.7500 0.1309  12 Co 2.46-2.53
Co 0.3752 0.7500 0.2047  11 Co 2.45-2.53
Co 0.3753 0.7500 0.8320  12 Co 2.45-2.53
Co 0.3754 0.7500 0.9068  12 Co 2.46-2.53
Co 0.3746 0.7500 0.9815  12 Co 2.46-2.53
Co 0.6254 0.2500 0.0185  12 Co 2.46-2.53
Co 0.6246 0.2500 0.0932  12 Co 2.46-2.53
Co 0.6247 0.2500 0.1680  12 Co 2.45-2.53
Co 0.6248 0.2500 0.7953  11 Co 2.45-2.53
Co 0.6252 0.2500 0.8691  12 Co 2.46-2.53
Co 0.6248 0.2500 0.9443  12 Co 2.46-2.53
Co 0.6259 0.2500 0.2424  9 Co 2.42-2.53
Co 0.8747 0.7500 0.0562  12 Co 2.46-2.53
Co 0.8752 0.7500 0.1304  12 Co 2.46-2.53
Co 0.8749 0.7500 0.2064  12 Co 2.37-2.53
Co 0.8751 0.7500 0.2776  7 Co 2.37-2.53
Co 0.8746 0.7500 0.8319  12 Co 2.45-2.53
Co 0.8746 0.7500 0.9070  12 Co 2.46-2.53
Co 0.8754 0.7500 0.9813  12 Co 2.46-2.53
Co 0.8758 0.7500 0.7576  9 Co 2.42-2.53
Hg 0.3750 0.7500 0.3000  2 Hg 2.53
Hg 0.6250 0.2500 0.7000  2 Hg 2.53

=====

--- 2 ---
Below is a geometry-optimized Co15Hg structure, with properties calculated at the GGA-PBE level.

**SG**: No. 13

a = 4.2700 Å, b = 33.4994 Å, c = 4.2700 Å
α = 90.00°, β = 108.74°, γ = 90.00°
With the nearest neighbours (Å) after each atom.
Positions (direct):
Co 0.0000 0.0183 0.2500  12 Co 2.46-2.49
Co 0.0000 0.0556 0.7500  12 Co 2.46-2.50
Co 0.0000 0.0924 0.2500  12 Co 2.46-2.49
Co 0.0000 0.1303 0.7500  12 Co 2.46-2.50
Co 0.0000 0.1667 0.2500  12 Co 2.44-2.49
Co 0.0000 0.2047 0.7500  11 Co 2.45-2.49
Co 0.0000 0.2407 0.2500  9 Co 2.40-2.50
Co 0.0000 0.7593 0.7500  9 Co 2.40-2.50
Co 0.0000 0.7953 0.2500  11 Co 2.45-2.49
Co 0.0000 0.8333 0.7500  12 Co 2.44-2.49
Co 0.0000 0.8697 0.2500  12 Co 2.46-2.50
Co 0.0000 0.9076 0.7500  12 Co 2.46-2.49
Co 0.0000 0.9444 0.2500  12 Co 2.46-2.50
Co 0.0000 0.9817 0.7500  12 Co 2.46-2.49
Co 0.5000 0.0186 0.7500  12 Co 2.46-2.49
Co 0.5000 0.0552 0.2500  12 Co 2.46-2.49
Co 0.5000 0.0925 0.7500  12 Co 2.46-2.49
Co 0.5000 0.1287 0.2500  12 Co 2.46-2.49
Co 0.5000 0.1668 0.7500  12 Co 2.44-2.49
Co 0.5000 0.2020 0.2500  12 Co 2.39-2.50
Co 0.5000 0.2407 0.7500  9 Co 2.40-2.50
Co 0.5000 0.2734 0.2500  5 Co 2.39-2.40, 2 Hg 2.60
Co 0.5000 0.7266 0.7500  5 Co 2.39-2.40, 2 Hg 2.60
Co 0.5000 0.7593 0.2500  9 Co 2.40-2.50
Co 0.5000 0.7980 0.7500  12 Co 2.39-2.50
Co 0.5000 0.8332 0.2500  12 Co 2.44-2.49
Co 0.5000 0.8713 0.7500  12 Co 2.46-2.49
Co 0.5000 0.9075 0.2500  12 Co 2.46-2.49
Co 0.5000 0.9448 0.7500  12 Co 2.46-2.49
Co 0.5000 0.9814 0.2500  12 Co 2.46-2.49
Hg 0.0000 0.2958 0.7500  6 Co 2.60-2.82
Hg 0.0000 0.7042 0.2500  6 Co 2.60-2.82

=====

Which structure is the most stable? The one labeled 2.

=====

--- 1 ---
Below is a geometry-optimized Co9Hg structure, with properties calculated at the GGA-PBE level.

**SG**: No. 59

a = 2.5643 Å, b = 3.3970 Å, c = 33.0154 Å
α = 90.00°, β = 90.00°, γ = 90.00°
With the nearest neighbours (Å) after each atom.
Positions (direct):
Co 0.2500 0.2500 0.0188  12 Co 2.46-2.56
Co 0.2500 0.2500 0.0938  12 Co 2.46-2.56
Co 0.2500 0.2500 0.1690  12 Co 2.46-2.56
Co 0.2500 0.2500 0.2445  12 Co 2.43-2.56
Co 0.2500 0.2500 0.3180  7 Co 2.43-2.56
Co 0.2500 0.2500 0.7177  11 Co 2.43-2.56
Co 0.2500 0.2500 0.7928  12 Co 2.46-2.56
Co 0.2500 0.2500 0.8686  12 Co 2.46-2.56
Co 0.2500 0.2500 0.9436  12 Co 2.46-2.56
Co 0.7500 0.7500 0.0564  12 Co 2.46-2.56
Co 0.7500 0.7500 0.1314  12 Co 2.46-2.56
Co 0.7500 0.7500 0.2072  12 Co 2.46-2.56
Co 0.7500 0.7500 0.2823  11 Co 2.43-2.56
Co 0.7500 0.7500 0.6820  7 Co 2.43-2.56
Co 0.7500 0.7500 0.7555  12 Co 2.43-2.56
Co 0.7500 0.7500 0.8310  12 Co 2.46-2.56
Co 0.7500 0.7500 0.9062  12 Co 2.46-2.56
Co 0.7500 0.7500 0.9812  12 Co 2.46-2.56
Hg 0.2500 0.2500 0.6247  2 Hg 2.56, 4 Co 2.85
Hg 0.7500 0.7500 0.3753  2 Hg 2.56, 4 Co 2.85

=====

--- 2 ---
Below is a geometry-optimized Co9Hg structure, with properties calculated at the GGA-PBE level.

**SG**: No. 129

a = 2.5332 Å, b = 2.5332 Å, c = 46.7148 Å
α = 90.00°, β = 90.00°, γ = 90.00°
With the nearest neighbours (Å) after each atom.
Positions (direct):
Co 0.2500 0.2500 0.0184  12 Co 2.44-2.53
Co 0.2500 0.2500 0.0908  12 Co 2.41-2.53
Co 0.2500 0.2500 0.1618  12 Co 2.45-2.53
Co 0.2500 0.2500 0.2338  12 Co 2.46-2.53
Co 0.2500 0.2500 0.3056  8 Co 2.42-2.53
Co 0.2500 0.2500 0.7293  12 Co 2.42-2.53
Co 0.2500 0.2500 0.8023  12 Co 2.45-2.53
Co 0.2500 0.2500 0.8747  12 Co 2.41-2.53
Co 0.2500 0.2500 0.9462  12 Co 2.44-2.53
Co 0.7500 0.7500 0.0538  12 Co 2.44-2.53
Co 0.7500 0.7500 0.1253  12 Co 2.41-2.53
Co 0.7500 0.7500 0.1977  12 Co 2.45-2.53
Co 0.7500 0.7500 0.2707  12 Co 2.42-2.53
Co 0.7500 0.7500 0.6944  8 Co 2.42-2.53
Co 0.7500 0.7500 0.7662  12 Co 2.46-2.53
Co 0.7500 0.7500 0.8382  12 Co 2.45-2.53
Co 0.7500 0.7500 0.9092  12 Co 2.41-2.53
Co 0.7500 0.7500 0.9816  12 Co 2.44-2.53
Hg 0.2500 0.2500 0.6434  4 Hg 2.53
Hg 0.7500 0.7500 0.3566  4 Hg 2.53

=====

Which structure is the most stable? The one labeled 1.

=====

--- 1 ---
Below is a geometry-optimized LuInCoHg structure, with properties calculated at the GGA-PBE level.

**SG**: No. 216

a = 4.8006 Å, b = 4.8006 Å, c = 4.8006 Å
α = 60.00°, β = 60.00°, γ = 60.00°
With the nearest neighbours (Å) after each atom.
Positions (direct):
Lu 0.0000 0.0000 0.0000  4 Co 2.94, 4 Hg 2.94
In 0.5000 0.5000 0.5000  4 Hg 2.94, 4 Co 2.94
Co 0.7500 0.7500 0.7500  4 In 2.94, 4 Lu 2.94
Hg 0.2500 0.2500 0.2500  4 In 2.94, 4 Lu 2.94

=====

--- 2 ---
Below is a geometry-optimized LuInCoHg structure, with properties calculated at the GGA-PBE level.

**SG**: No. 216

a = 4.7903 Å, b = 4.7903 Å, c = 4.7903 Å
α = 60.00°, β = 60.00°, γ = 60.00°
With the nearest neighbours (Å) after each atom.
Positions (direct):
Lu 0.0000 0.0000 0.0000  4 Hg 2.93, 4 In 2.93
In 0.2500 0.2500 0.2500  4 Co 2.93, 4 Lu 2.93
Co 0.5000 0.5000 0.5000  4 Hg 2.93, 4 In 2.93
Hg 0.7500 0.7500 0.7500  4 Co 2.93, 4 Lu 2.93

=====

Which structure is the most stable? The one labeled 1.

=====

--- 1 ---
Below is a geometry-optimized LuCoHgPb structure, with properties calculated at the GGA-PBE level.

**SG**: No. 216

a = 4.9559 Å, b = 4.9559 Å, c = 4.9559 Å
α = 60.00°, β = 60.00°, γ = 60.00°
With the nearest neighbours (Å) after each atom.
Positions (direct):
Lu 0.0000 0.0000 0.0000  4 Co 3.03, 4 Hg 3.03
Co 0.7500 0.7500 0.7500  4 Pb 3.03, 4 Lu 3.03
Hg 0.2500 0.2500 0.2500  4 Pb 3.03, 4 Lu 3.03
Pb 0.5000 0.5000 0.5000  4 Hg 3.03, 4 Co 3.03

=====

--- 2 ---
Below is a geometry-optimized LuCoHgPb structure, with properties calculated at the GGA-PBE level.

**SG**: No. 216

a = 4.8930 Å, b = 4.8930 Å, c = 4.8930 Å
α = 60.00°, β = 60.00°, γ = 60.00°
With the nearest neighbours (Å) after each atom.
Positions (direct):
Lu 0.0000 0.0000 0.0000  4 Hg 3.00, 4 Pb 3.00
Co 0.5000 0.5000 0.5000  4 Hg 3.00, 4 Pb 3.00
Hg 0.7500 0.7500 0.7500  4 Co 3.00, 4 Lu 3.00
Pb 0.2500 0.2500 0.2500  4 Co 3.00, 4 Lu 3.00

=====

Which structure is the most stable? The one labeled 2.

=====

--- 1 ---
Below is a geometry-optimized LuTlCoHg structure, with properties calculated at the GGA-PBE level.

**SG**: No. 216

a = 4.8827 Å, b = 4.8827 Å, c = 4.8827 Å
α = 60.00°, β = 60.00°, γ = 60.00°
With the nearest neighbours (Å) after each atom.
Positions (direct):
Lu 0.0000 0.0000 0.0000  4 Hg 2.99, 4 Co 2.99
Tl 0.5000 0.5000 0.5000  4 Co 2.99, 4 Hg 2.99
Co 0.7500 0.7500 0.7500  4 Tl 2.99, 4 Lu 2.99
Hg 0.2500 0.2500 0.2500  4 Tl 2.99, 4 Lu 2.99

=====

--- 2 ---
Below is a geometry-optimized LuTlCoHg structure, with properties calculated at the GGA-PBE level.

**SG**: No. 216

a = 4.8351 Å, b = 4.8351 Å, c = 4.8351 Å
α = 60.00°, β = 60.00°, γ = 60.00°
With the nearest neighbours (Å) after each atom.
Positions (direct):
Lu 0.0000 0.0000 0.0000  4 Hg 2.96, 4 Tl 2.96
Tl 0.2500 0.2500 0.2500  4 Co 2.96, 4 Lu 2.96
Co 0.5000 0.5000 0.5000  4 Hg 2.96, 4 Tl 2.96
Hg 0.7500 0.7500 0.7500  4 Co 2.96, 4 Lu 2.96

=====

Which structure is the most stable? The one labeled 2.

=====

--- 1 ---
Below is a geometry-optimized CoHgMoPb structure, with properties calculated at the GGA-PBE level.

**SG**: No. 216

a = 4.7457 Å, b = 4.7457 Å, c = 4.7457 Å
α = 60.00°, β = 60.00°, γ = 60.00°
With the nearest neighbours (Å) after each atom.
Positions (direct):
Co 0.0000 0.0000 0.0000  4 Pb 2.91, 4 Mo 2.91
Hg 0.5000 0.5000 0.5000  4 Pb 2.91, 4 Mo 2.91
Mo 0.2500 0.2500 0.2500  4 Hg 2.91, 4 Co 2.91
Pb 0.7500 0.7500 0.7500  4 Hg 2.91, 4 Co 2.91

=====

--- 2 ---
Below is a geometry-optimized CoHgMoPb structure, with properties calculated at the GGA-PBE level.

**SG**: No. 216

a = 4.6839 Å, b = 4.6839 Å, c = 4.6839 Å
α = 60.00°, β = 60.00°, γ = 60.00°
With the nearest neighbours (Å) after each atom.
Positions (direct):
Co 0.0000 0.0000 0.0000  4 Hg 2.87, 4 Pb 2.87
Hg 0.2500 0.2500 0.2500  4 Mo 2.87, 4 Co 2.87
Mo 0.5000 0.5000 0.5000  4 Hg 2.87, 4 Pb 2.87
Pb 0.7500 0.7500 0.7500  4 Mo 2.87, 4 Co 2.87

=====

Which structure is the most stable? The one labeled 2.

=====

--- 1 ---
Below is a geometry-optimized NbCoHgPb structure, with properties calculated at the GGA-PBE level.

**SG**: No. 216

a = 4.7811 Å, b = 4.7811 Å, c = 4.7811 Å
α = 60.00°, β = 60.00°, γ = 60.00°
With the nearest neighbours (Å) after each atom.
Positions (direct):
Nb 0.0000 0.0000 0.0000  4 Hg 2.93, 4 Co 2.93
Co 0.7500 0.7500 0.7500  4 Nb 2.93, 4 Pb 2.93
Hg 0.2500 0.2500 0.2500  4 Nb 2.93, 4 Pb 2.93
Pb 0.5000 0.5000 0.5000  4 Hg 2.93, 4 Co 2.93

=====

--- 2 ---
Below is a geometry-optimized NbCoHgPb structure, with properties calculated at the GGA-PBE level.

**SG**: No. 216

a = 4.7111 Å, b = 4.7111 Å, c = 4.7111 Å
α = 60.00°, β = 60.00°, γ = 60.00°
With the nearest neighbours (Å) after each atom.
Positions (direct):
Nb 0.0000 0.0000 0.0000  4 Hg 2.88, 4 Pb 2.88
Co 0.5000 0.5000 0.5000  4 Pb 2.88, 4 Hg 2.88
Hg 0.7500 0.7500 0.7500  4 Co 2.88, 4 Nb 2.88
Pb 0.2500 0.2500 0.2500  4 Co 2.88, 4 Nb 2.88

=====

Which structure is the most stable? The one labeled 2.